First-principles (PBE) data for a relaxed structure of SmErTe2, as listed in the Alexandria database.

Properties
Electronic total energy: -5.067 eV per atom
Offset from the most stable computed form: 158 meV/atom
SG: No. 225

```
SmErTe2
1.0
-1.7317 -2.0078 4.6788
-0.6294 -5.3094 0.5793
3.3641 -2.7795 3.1430
Sm Te Er
1 2 1
Cartesian
0.5015 -5.0483 4.2005 Sm
0.2507 -2.5242 2.1003 Te
0.7522 -7.5725 6.3008 Te
0.0000 0.0000 0.0000 Er
```



First-principles (PBE) data for a relaxed structure of Sm3ErTe3, as listed in the Alexandria database.

Properties
Electronic total energy: -5.067 eV per atom
SG: No. 148

```
Sm3ErTe3
1.0
9.0594 0.0000 0.0000
4.5297 7.8456 0.0000
4.5297 2.6152 6.0518
Sm Te Er
6 6 2
Cartesian
10.2286 1.9326 1.5560 Sm
7.8902 8.5282 4.4959 Sm
12.4999 4.5941 4.4959 Sm
11.3307 7.8919 1.5560 Sm
5.6188 5.8668 1.5560 Sm
6.7880 2.5690 4.4959 Sm
8.0975 7.7227 1.4580 Te
11.6986 4.8173 1.4580 Te
10.0212 2.7382 4.5938 Te
6.4201 5.6436 4.5938 Te
7.3820 3.1513 1.4580 Te
10.7368 7.3095 4.5938 Te
13.5891 7.8456 5.7347 Er
4.5297 2.6152 0.3172 Er
```



First-principles (PBE) data for a relaxed structure of Sm3ErTe6, as listed in the Alexandria database.

Properties
Electronic total energy: -5.131 eV per atom
Offset from the most stable computed form: 0 meV/atom
SG: No. 14

```
Sm3ErTe6
1.0
-2.7818 1.1278 -6.7578
-7.4265 -2.1986 2.6901
-2.1190 10.6624 2.8643
Sm Te Er
6 12 2
Cartesian
-2.6763 2.9456 -1.9756 Sm
-7.0536 8.2702 -3.2243 Sm
-5.1041 -0.5354 -2.0338 Sm
-1.0595 5.3312 1.4322 Sm
-5.2737 1.3214 2.0210 Sm
-9.6510 6.6461 0.7723 Sm
-8.5531 5.6595 -2.1696 Te
-2.4427 8.1212 1.1878 Te
-4.3794 6.5205 -2.3113 Te
-5.7182 2.4823 -2.5568 Te
-7.9479 3.0712 1.1080 Te
-3.7742 3.9321 0.9663 Te
-9.3297 9.2826 -1.2258 Te
-9.8845 1.4704 -2.3911 Te
-7.2467 -0.5743 0.1915 Te
-6.6090 7.1093 1.3535 Te
-2.9975 0.3090 0.0224 Te
-5.0806 10.1659 -1.3948 Te
0.0000 0.0000 0.0000 Er
-6.1636 4.7958 -0.6017 Er
```



First-principles (PBE) data for a relaxed structure of Sm2Er5Te4, as listed in the Alexandria database.

Properties
Electronic total energy: -4.564 eV per atom
SG: No. 12

```
Sm2Er5Te4
1.0
3.9052 0.0000 0.0000
0.0000 6.2222 -0.4618
-1.9526 -3.0635 15.7255
Er Te Sm
5 4 2
Cartesian
1.9526 0.0000 0.0000 Er
0.0000 1.8112 4.4972 Er
1.9526 -1.8369 9.6731 Er
0.0000 4.9956 5.5906 Er
1.9526 1.3475 10.7665 Er
1.9526 1.3798 13.7926 Te
1.9526 2.8876 6.6062 Te
0.0000 0.2711 8.6575 Te
0.0000 1.7789 1.4711 Te
0.0000 4.8470 2.1472 Sm
1.9526 -1.6883 13.1165 Sm
```



First-principles (PBE) data for a relaxed structure of Sm5ErTe4, as listed in the Alexandria database.

Properties
Electronic total energy: -5.039 eV per atom
SG: No. 12

```
Sm5ErTe4
1.0
-4.0838 -0.5839 -0.9074
2.1281 -2.5459 -7.9396
2.1501 -7.7143 5.1188
Sm Te Er
5 4 1
Cartesian
1.7361 -4.6986 -4.7897 Sm
-1.5416 -6.1455 1.0614 Sm
0.8036 -3.8679 -1.1276 Sm
-0.9778 -1.5649 -4.4235 Sm
-0.6092 -6.9763 -2.6006 Sm
-1.8547 -3.1139 0.5194 Te
2.0491 -7.7302 -4.2477 Te
0.5292 -0.7660 -1.8889 Te
-0.3348 -10.0782 -1.8394 Te
-2.0419 -0.2920 -0.4537 Er
```



First-principles (PBE) data for a relaxed structure of SmEr2Te4, as listed in the Alexandria database.

Properties
Electronic total energy: -5.151 eV per atom
Offset from the most stable computed form: 0 meV/atom
SG: No. 12

```
SmEr2Te4
1.0
-3.2828 2.8477 -0.1087
-4.8161 -5.4787 1.9217
5.1723 2.8801 6.1699
Te Er Sm
4 2 1
Cartesian
-0.0023 3.5041 4.9400 Te
-0.7957 -0.6944 5.8399 Te
-2.9243 -3.2550 3.0429 Te
-2.1309 0.9435 2.1430 Te
-3.5654 -0.6241 4.4032 Er
0.6388 0.8731 3.5797 Er
0.0000 0.0000 0.0000 Sm
```



First-principles (PBE) data for a relaxed structure of SmEr2Te, as listed in the Alexandria database.

Properties
Electronic total energy: -4.781 eV per atom
Offset from the most stable computed form: 110 meV/atom
SG: No. 123

```
SmEr2Te
1.0
3.8426 0.0000 0.0000
0.0000 3.8426 0.0000
0.0000 0.0000 7.9657
Er Te Sm
2 1 1
Cartesian
0.0000 0.0000 2.2174 Er
0.0000 0.0000 5.7483 Er
1.9213 1.9213 3.9829 Te
1.9213 1.9213 0.0000 Sm
```



First-principles (PBE) data for a relaxed structure of SmEr2Te4, as listed in the Alexandria database.

Properties
Electronic total energy: -5.124 eV per atom
Offset from the most stable computed form: 27 meV/atom
SG: No. 63

```
SmEr2Te4
1.0
4.2591 0.0000 0.0000
-2.1296 7.1328 0.0000
0.0000 0.0000 14.8964
Er Te Sm
4 8 2
Cartesian
2.1296 5.2617 8.4713 Er
0.0000 1.8711 6.4251 Er
0.0000 1.8711 1.0231 Er
2.1296 5.2617 13.8733 Er
0.0000 0.5281 3.7241 Te
2.1296 6.6047 11.1723 Te
2.1296 3.9406 5.6618 Te
0.0000 3.1922 13.1100 Te
2.1296 0.0000 7.4482 Te
0.0000 3.1922 9.2346 Te
2.1296 3.9406 1.7864 Te
2.1296 0.0000 0.0000 Te
2.1296 1.8082 11.1723 Sm
0.0000 5.3246 3.7241 Sm
```



First-principles (PBE) data for a relaxed structure of SmEr2Te, as listed in the Alexandria database.

Properties
Electronic total energy: -4.450 eV per atom
Offset from the most stable computed form: 441 meV/atom
SG: No. 166

```
SmEr2Te
1.0
3.7912 0.0000 0.0000
1.8956 3.2833 0.0000
1.8956 1.0944 10.7979
Te Sm Er
1 1 2
Cartesian
3.7912 2.1888 5.3989 Te
0.0000 0.0000 0.0000 Sm
1.8956 1.0944 7.4591 Er
5.6868 3.2833 3.3388 Er
```



First-principles (PBE) data for a relaxed structure of SmEr3Te, as listed in the Alexandria database.

Properties
Electronic total energy: -4.613 eV per atom
SG: No. 12

```
SmEr3Te
1.0
-2.8647 -1.0811 7.1552
-2.7416 -5.7342 -4.4917
7.3003 -0.1711 -1.0231
Er Te Sm
6 2 2
Cartesian
1.5476 -4.2852 2.3104 Er
2.3268 -5.7393 -3.8541 Er
0.1464 -2.7012 -0.6699 Er
-1.9054 -3.3983 3.2452 Er
3.5995 -3.5881 -1.6048 Er
-0.6328 -1.2471 5.4945 Er
-1.2011 -4.9345 0.7968 Te
2.8952 -2.0519 0.8437 Te
3.4144 -1.2672 3.9442 Sm
-1.7203 -5.7192 -2.3037 Sm
```



First-principles (PBE) data for a relaxed structure of Sm3Er2Te8, as listed in the Alexandria database.

Properties
Electronic total energy: -4.962 eV per atom
SG: No. 12

```
Sm3Er2Te8
1.0
-0.4130 -7.4058 -1.5043
8.6371 -0.1714 -1.5274
-2.9690 1.0097 8.2916
Sm Te Er
3 8 2
Cartesian
6.4053 -0.1271 -1.1327 Sm
-0.2065 -3.7029 -0.7522 Sm
2.2318 -0.0443 -0.3947 Sm
-1.4014 -3.5944 5.1450 Te
2.3142 -2.8868 0.8828 Te
2.9409 -3.6806 4.3771 Te
-0.0438 -6.5856 0.4912 Te
0.9848 -0.1241 5.5827 Te
6.6565 -2.9730 0.1148 Te
4.2704 -6.4433 -0.3228 Te
5.2990 0.0181 4.7687 Te
0.5371 -1.9999 3.2617 Er
4.7180 -4.5676 1.9982 Er
```



First-principles (PBE) data for a relaxed structure of SmErTe2, as listed in the Alexandria database.

Properties
Electronic total energy: -5.192 eV per atom
Offset from the most stable computed form: 32 meV/atom
SG: No. 166

```
SmErTe2
1.0
-2.3855 -1.2143 -3.4292
1.9373 -0.8888 -3.7923
0.5403 -7.6516 -0.4258
Te Er Sm
2 1 1
Cartesian
0.0768 -7.3937 -5.7134 Te
0.0153 -2.3609 -1.9340 Te
0.0000 0.0000 0.0000 Er
0.0461 -4.8773 -3.8237 Sm
```



First-principles (PBE) data for a relaxed structure of Sm4ErTe5, as listed in the Alexandria database.

Properties
Electronic total energy: -5.266 eV per atom
SG: No. 139

```
Sm4ErTe5
1.0
-1.3846 3.9472 1.2859
-3.6141 -1.8130 1.6739
9.9586 -3.0113 12.5195
Sm Te Er
4 5 1
Cartesian
-0.9103 0.6529 4.4622 Sm
5.8702 -1.5300 11.0171 Sm
2.8344 -0.7387 5.3195 Sm
2.1255 -0.1383 10.1598 Sm
-2.4993 1.0671 1.4799 Te
1.3951 -0.3636 2.6184 Te
0.5763 0.2655 7.2522 Te
3.5647 -0.5135 12.8609 Te
4.3836 -1.1426 8.2271 Te
0.0000 0.0000 0.0000 Er
```



First-principles (PBE) data for a relaxed structure of SmErTe2, as listed in the Alexandria database.

Properties
Electronic total energy: -5.209 eV per atom
Offset from the most stable computed form: 16 meV/atom
SG: No. 164

```
SmErTe2
1.0
4.2106 0.0000 -0.0001
-2.1053 3.6457 0.0039
0.0001 -0.0091 7.8209
Sm Er Te
1 1 2
Cartesian
-1.0526 1.8183 3.9124 Sm
-1.0527 1.8228 0.0019 Er
1.0527 3.0308 5.9478 Te
1.0527 0.6058 1.8769 Te
```



First-principles (PBE) data for a relaxed structure of Sm4ErTe5, as listed in the Alexandria database.

Properties
Electronic total energy: -5.265 eV per atom
SG: No. 79

```
Sm4ErTe5
1.0
5.6223 0.0000 2.7118
2.8112 6.9949 1.3559
-0.2277 0.0000 7.6563
Te Sm Er
5 4 1
Cartesian
2.8225 0.0000 1.3614 Te
2.2598 4.2436 2.5101 Te
3.7831 5.7158 6.5361 Te
4.4314 1.2791 5.1921 Te
5.9547 2.7514 9.2180 Te
6.6272 5.4520 7.8230 Sm
3.2579 2.8279 7.6244 Sm
1.5867 1.5429 3.9049 Sm
4.9561 4.1671 4.1035 Sm
0.0129 0.0000 0.0062 Er
```



First-principles (PBE) data for a relaxed structure of Sm3Er2Te5, as listed in the Alexandria database.

Properties
Electronic total energy: -5.218 eV per atom
SG: No. 12

```
Sm3Er2Te5
1.0
-2.3524 -1.5520 3.3613
-3.6246 -6.2018 -2.5381
6.7444 -4.6276 5.4455
Sm Te Er
3 5 2
Cartesian
-3.2887 -8.3462 2.4311 Sm
0.3837 -6.1907 3.1344 Sm
4.0561 -4.0351 3.8377 Sm
1.4370 -3.3626 2.3152 Te
-0.6696 -9.0187 3.9535 Te
3.0544 -6.9127 4.6701 Te
-2.2870 -5.4686 1.5987 Te
0.0000 0.0000 0.0000 Te
1.8739 -9.6310 5.4509 Er
-1.1065 -2.7503 0.8178 Er
```



First-principles (PBE) data for a relaxed structure of Sm2ErTe, as listed in the Alexandria database.

Properties
Electronic total energy: -4.823 eV per atom
Offset from the most stable computed form: 32 meV/atom
SG: No. 160

```
Sm2ErTe
1.0
-3.8411 -0.7855 0.4898
-1.3337 -3.6925 -0.4447
-0.1607 -3.2041 9.5359
Sm Te Er
2 1 1
Cartesian
-1.3832 -1.8665 2.0949 Sm
-0.5032 -2.8294 7.4514 Sm
-3.6112 -6.1887 9.5622 Te
-2.6663 -3.8426 4.7990 Er
```



First-principles (PBE) data for a relaxed structure of Sm3ErTe4, as listed in the Alexandria database.

Properties
Electronic total energy: -5.249 eV per atom
SG: No. 65

```
Sm3ErTe4
1.0
4.3512 0.0000 0.0000
0.0000 7.6817 -0.0243
0.0000 -2.4450 7.2823
Er Te Sm
1 4 3
Cartesian
2.1756 0.0000 0.0000 Er
0.0000 1.2702 1.7604 Te
2.1756 0.0482 5.4834 Te
0.0000 3.9666 5.4975 Te
2.1756 5.1886 1.7746 Te
0.0000 3.8409 -0.0122 Sm
0.0000 -1.2225 3.6412 Sm
2.1756 2.6184 3.6290 Sm
```



First-principles (PBE) data for a relaxed structure of Sm3ErTe6, as listed in the Alexandria database.

Properties
Electronic total energy: -5.125 eV per atom
Offset from the most stable computed form: 6 meV/atom
SG: No. 146

```
Sm3ErTe6
1.0
7.8044 0.0000 0.0000
3.9022 6.7588 0.0000
3.9022 2.2529 7.0945
Sm Te Er
3 6 1
Cartesian
7.8044 4.5059 0.2636 Sm
3.9022 2.2529 3.7859 Sm
7.8044 4.5059 6.8709 Sm
5.1265 4.6926 5.2899 Te
6.5122 6.9212 1.7761 Te
6.3588 2.1791 1.7761 Te
10.5423 4.4173 1.7761 Te
8.9816 2.0934 5.2899 Te
9.3050 6.7316 5.2899 Te
11.7066 6.7588 3.3542 Er
```



First-principles (PBE) data for a relaxed structure of SmEr3Te2, as listed in the Alexandria database.

Properties
Electronic total energy: -4.947 eV per atom
SG: No. 12

```
SmEr3Te2
1.0
4.1080 0.0000 0.0000
-2.0540 8.1721 -0.1217
0.0000 -3.6049 10.7196
Er Sm Te
6 2 4
Cartesian
2.0540 5.0426 6.2711 Er
0.0000 2.3916 6.5976 Er
2.0540 -0.3700 7.0857 Er
0.0000 4.9372 3.5121 Er
2.0540 2.1755 4.0002 Er
0.0000 -0.4755 4.3267 Er
0.0000 1.7867 0.4459 Sm
2.0540 2.7805 10.1519 Sm
0.0000 4.9211 8.7653 Te
2.0540 -0.3539 1.8325 Te
2.0540 3.9078 1.4740 Te
0.0000 0.6594 9.1238 Te
```



First-principles (PBE) data for a relaxed structure of SmErTe2, as listed in the Alexandria database.

Properties
Electronic total energy: -5.074 eV per atom
Offset from the most stable computed form: 151 meV/atom
SG: No. 123

```
SmErTe2
1.0
-1.7065 0.4323 -3.3643
-0.0266 -5.3323 -0.6717
-4.8010 -0.2783 2.3996
Sm Er Te
1 1 2
Cartesian
-0.8533 0.2161 -1.6821 Sm
-3.2671 -2.5892 -0.8182 Er
-2.4005 -0.1392 1.1998 Te
-0.0133 -2.6662 -0.3358 Te
```



First-principles (PBE) data for a relaxed structure of SmErTe3, as listed in the Alexandria database.

Properties
Electronic total energy: -5.129 eV per atom
Offset from the most stable computed form: 0 meV/atom
SG: No. 63

```
SmErTe3
1.0
-3.2049 0.1391 -2.8210
0.0122 -6.8189 2.8844
-6.6846 3.2686 7.7554
Er Te Sm
2 6 2
Cartesian
0.0000 0.0000 0.0000 Er
-3.3423 1.6343 3.8777 Er
-4.8887 -2.9247 5.4098 Te
-4.9886 -0.4866 2.4091 Te
-4.5732 -4.6290 1.7329 Te
-5.3041 1.2178 6.0860 Te
-7.3841 -1.7045 8.3049 Te
-2.4932 -1.7068 -0.4861 Te
-2.4614 -2.5370 2.6713 Sm
-7.4158 -0.8742 5.1475 Sm
```



First-principles (PBE) data for a relaxed structure of Sm2ErTe, as listed in the Alexandria database.

Properties
Electronic total energy: -4.855 eV per atom
Offset from the most stable computed form: 0 meV/atom
SG: No. 123

```
Sm2ErTe
1.0
3.9473 0.0000 0.0000
0.0000 3.9473 0.0000
0.0000 0.0000 7.8097
Sm Te Er
2 1 1
Cartesian
0.0000 0.0000 2.1324 Sm
0.0000 0.0000 5.6773 Sm
1.9737 1.9737 3.9048 Te
1.9737 1.9737 0.0000 Er
```



First-principles (PBE) data for a relaxed structure of SmEr2Te, as listed in the Alexandria database.

Properties
Electronic total energy: -4.891 eV per atom
Offset from the most stable computed form: 0 meV/atom
SG: No. 63

```
SmEr2Te
1.0
3.9496 0.0004 0.0000
-1.9745 6.0642 0.0000
0.0000 0.0000 9.8324
Er Te Sm
4 2 2
Cartesian
-0.0003 4.4171 5.2603 Er
1.9753 1.6476 0.3441 Er
1.9753 1.6476 4.5722 Er
-0.0003 4.4171 9.4884 Er
0.0002 2.8209 2.4581 Te
1.9748 3.2437 7.3743 Te
-0.0002 0.6614 7.3743 Sm
1.9752 5.4032 2.4581 Sm
```